Compound: K2AcBr5
Source: the Alexandria database
Functional: PBE
Structure: relaxed

Cell lengths 8.742, 9.557, 13.753 Å; angles 90.00, 90.00, 90.00 degrees
Fractional positions:
1 K 0.460 0.502 0.826
2 K 0.540 0.498 0.174
3 K 0.960 0.498 0.674
4 K 0.540 0.002 0.174
5 K 0.040 0.502 0.326
6 K 0.460 0.998 0.826
7 K 0.040 0.998 0.326
8 K 0.960 0.002 0.674
9 Ac 0.424 0.250 0.508
10 Ac 0.576 0.750 0.492
11 Ac 0.924 0.750 0.992
12 Ac 0.076 0.250 0.008
13 Br 0.068 0.250 0.508
14 Br 0.932 0.750 0.492
15 Br 0.568 0.750 0.992
16 Br 0.432 0.250 0.008
17 Br 0.336 0.956 0.586
18 Br 0.664 0.044 0.414
19 Br 0.836 0.044 0.914
20 Br 0.664 0.456 0.414
21 Br 0.164 0.956 0.086
22 Br 0.336 0.544 0.586
23 Br 0.164 0.544 0.086
24 Br 0.836 0.456 0.914
25 Br 0.180 0.250 0.790
26 Br 0.820 0.750 0.210
27 Br 0.680 0.750 0.710
28 Br 0.320 0.250 0.290
29 Br 0.641 0.250 0.682
30 Br 0.359 0.750 0.318
31 Br 0.141 0.750 0.818
32 Br 0.859 0.250 0.182

Output
For the excess energy over the best structure of this formula in the dataset, the calculation gives 0 meV per atom. The calculation puts the spin magnetization at 0.00 μB/cell. Its uncorrected formation energy is -1926 meV per atom.